(1)
Compound: KGaHg4
Source: Alexandria
Functional: PBE
Structure: relaxed

It has space group F-43m (No. 216), with a = 8.825 Å, b = 8.825 Å, c = 8.825 Å, α = 90.00°, β = 90.00° and γ = 90.00°. Symmetry generates all atoms from K at (0.000, 0.000, 0.000), Ga at (0.250, 0.250, 0.250) and Hg at (0.125, 0.125, 0.625).

The calculation puts the mass density at 8.80 g/cm³. As for the total energy: -21.810 eV per cell. The energy above the most stable polymorph in this dataset is 0.1002 eV/atom. Its volume is 687.4 Å³/cell.

(2)
Compound: K3GaHg4
Source: Alexandria
Functional: PBE
Structure: relaxed

It has space group Imm2 (No. 44), with a = 6.586 Å, b = 8.382 Å, c = 10.193 Å, α = 90.00°, β = 90.00° and γ = 90.00°. Symmetry generates all atoms from K at (0.000, 0.000, 0.000), K at (0.000, 0.232, 0.373), Ga at (0.000, 0.500, 0.923), Hg at (0.000, 0.295, 0.716) and Hg at (0.248, 0.500, 0.142).

The calculation puts the mass density at 5.84 g/cm³. As for the total energy: -17.592 eV per cell. Its volume is 562.7 Å³/cell.

(3)
Compound: KGaHg4
Source: Alexandria
Functional: PBE
Structure: relaxed

It has space group Cmcm (No. 63), with a = 5.052 Å, b = 18.735 Å, c = 7.336 Å, α = 90.00°, β = 90.00° and γ = 90.00°. Symmetry generates all atoms from K at (0.000, 0.119, 0.250), Ga at (0.000, 0.216, 0.750), Hg at (0.000, 0.064, 0.750), Hg at (0.000, 0.316, 0.040) and Hg at (0.000, 0.500, 0.000).

The calculation puts the mass density at 8.72 g/cm³. As for the total energy: -24.214 eV per cell. The energy above the most stable polymorph in this dataset is 0.0000 eV/atom. Its volume is 694.3 Å³/cell.

In eV/atom, the formation enthalpy at 0 K values for the records above are, in order, -0.02, -0.16, -0.12.